[1]
Computed, not measured: an optimized crystal structure of AsP2Cl at the GGA-PBE level of DFT.

Values from the calculation:
For the raw formation energy, the calculation gives 0.41 eV per atom. Its volume is 230 Å³ per cell. As for the total magnetization: 0.0 μB per cell.

Cell lengths 3.663, 3.663, 19.809 Å; angles 90.00, 90.00, 120.00 degrees
Sites, in units of the cell vectors:
As  0.000  0.000  0.000
As  0.333  0.667  0.667
As  0.667  0.333  0.333
P  0.000  0.000  0.262
P  0.000  0.000  0.738
P  0.333  0.667  0.404
P  0.333  0.667  0.929
P  0.667  0.333  0.071
P  0.667  0.333  0.596
Cl  0.000  0.000  0.500
Cl  0.333  0.667  0.167
Cl  0.667  0.333  0.833

***

[2]
Computed, not measured: an optimized crystal structure of CuNi2S2 at the GGA-PBE level of DFT.

Values from the calculation:
For the raw formation energy, the calculation gives -0.14 eV per atom. Its volume is 150 Å³ per cell. As for the total magnetization: 0.0 μB per cell.

Cell lengths 3.102, 3.102, 15.543 Å; angles 90.00, 90.00, 90.00 degrees
Sites, in units of the cell vectors:
Cu  0.000  0.000  0.000
Cu  0.500  0.500  0.500
Ni  0.000  0.000  0.400
Ni  0.000  0.000  0.600
Ni  0.500  0.500  0.100
Ni  0.500  0.500  0.900
S  0.000  0.000  0.144
S  0.000  0.000  0.856
S  0.500  0.500  0.356
S  0.500  0.500  0.644

***

[3]
Computed, not measured: an optimized crystal structure of BaMgBr at the GGA-PBE level of DFT.

Values from the calculation:
For the raw formation energy, the calculation gives -0.49 eV per atom. Its volume is 540 Å³ per cell. As for the total magnetization: 2.4 μB per cell.

Cell lengths 8.146, 8.146, 8.146 Å; angles 90.00, 90.00, 90.00 degrees
Sites, in units of the cell vectors:
Ba  0.000  0.000  0.000
Ba  0.000  0.500  0.500
Ba  0.500  0.000  0.500
Ba  0.500  0.500  0.000
Mg  0.250  0.250  0.750
Mg  0.250  0.750  0.250
Mg  0.750  0.250  0.250
Mg  0.750  0.750  0.750
Br  0.250  0.250  0.250
Br  0.250  0.750  0.750
Br  0.750  0.250  0.750
Br  0.750  0.750  0.250

***

[4]
Computed, not measured: an optimized crystal structure of RePO3 at the GGA-PBE level of DFT.

Values from the calculation:
For the raw formation energy, the calculation gives -0.35 eV per atom. Its volume is 59 Å³ per cell. As for the total magnetization: 2.1 μB per cell.

Cell lengths 3.889, 3.889, 3.889 Å; angles 90.00, 90.00, 90.00 degrees
Sites, in units of the cell vectors:
Re  0.000  0.000  0.000
P  0.500  0.500  0.500
O  0.000  0.000  0.500
O  0.000  0.500  0.000
O  0.500  0.000  0.000

***

raw formation energy of number 1 (AsP2Cl)? 0.41 eV per atom

***

Which value of raw formation energy does entry 2 give? -0.14 eV per atom

***

The highest raw formation energy belongs to which entry? AsP2Cl

***

The highest raw formation energy belongs to which entry? AsP2Cl